Below is an optimized crystal structure of Tm10Sb3Te3, with properties calculated at the PBE level.

Cell: 6.1182 8.8931 8.8931 Å, 120.00 90.00 90.00°
Last column: nearest neighbours and their distance in Å.
Atoms (fractional coordinates):
Tm: 0.2519 0.3333 0.6667  2 Tm 3.04-3.08, 3 Sb 3.15, 3 Te 3.16
Tm: 0.5000 0.0000 0.7495  3 Sb 3.03-3.22, 2 Te 3.29
Tm: 0.2519 0.6667 0.3333  2 Tm 3.04-3.08, 3 Sb 3.15, 3 Te 3.16
Tm: 0.0000 0.0000 0.2504  3 Te 3.02-3.23, 2 Sb 3.29
Tm: 0.5000 0.7495 0.0000  3 Sb 3.03-3.22, 2 Te 3.29
Tm: 0.0000 0.2504 0.0000  3 Te 3.02-3.23, 2 Sb 3.29
Tm: 0.5000 0.2505 0.2505  3 Sb 3.03-3.22, 2 Te 3.29
Tm: 0.7481 0.3333 0.6667  2 Tm 3.04-3.08, 3 Sb 3.15, 3 Te 3.16
Tm: 0.7481 0.6667 0.3333  2 Tm 3.04-3.08, 3 Sb 3.15, 3 Te 3.16
Tm: 0.0000 0.7496 0.7496  3 Te 3.02-3.23, 2 Sb 3.29
Sb: 0.5000 0.3876 0.0000  9 Tm 3.03-3.29
Sb: 0.5000 0.0000 0.3876  9 Tm 3.03-3.29
Sb: 0.5000 0.6124 0.6124  9 Tm 3.03-3.29
Te: 0.0000 0.6132 0.0000  9 Tm 3.02-3.29
Te: 0.0000 0.3868 0.3868  9 Tm 3.02-3.29
Te: 0.0000 0.0000 0.6132  9 Tm 3.02-3.29

Output
volume	26.19	Å³/atom
symmetry	P-62m, No. 189
total moment	0.00	μB/f.u.
VASP energy	-80.22	eV/cell



Below is an optimized crystal structure of Tm6SbTe, with properties calculated at the PBE level.

Cell: 8.3557 8.3553 5.4987 Å, 70.79 70.80 38.42°
Last column: nearest neighbours and their distance in Å.
Atoms (fractional coordinates):
Sb: 0.5000 0.5000 0.5000  8 Tm 3.23
Tm: 0.8848 0.8848 0.6152  2 Te 3.23, 2 Sb 3.23, 5 Tm 3.38-3.42
Tm: 0.7476 0.7478 0.2523  8 Tm 3.38-3.42, 1 Sb 3.66, 1 Te 3.73
Tm: 0.6152 0.6152 0.8848  2 Te 3.23, 2 Sb 3.23, 5 Tm 3.38-3.42
Tm: 0.1152 0.1152 0.3848  2 Te 3.23, 2 Sb 3.23, 5 Tm 3.38-3.42
Tm: 0.2524 0.2522 0.7477  8 Tm 3.38-3.42, 1 Sb 3.66, 1 Te 3.73
Tm: 0.3848 0.3848 0.1152  2 Te 3.23, 2 Sb 3.23, 5 Tm 3.38-3.42
Te: 0.0000 0.0000 0.0000  8 Tm 3.23

Output
volume	27.95	Å³/atom
symmetry	I4/mmm, No. 139
total moment	0.00	μB/f.u.
VASP energy	-38.07	eV/cell



Below is an optimized crystal structure of Tm4Sb3Te, with properties calculated at the PBE level.

Cell: 4.3295 6.1224 8.6635 Å, 90.00 90.00 90.00°
Last column: nearest neighbours and their distance in Å.
Atoms (fractional coordinates):
Sb: 0.5000 0.5000 0.2482  6 Tm 3.05-3.07
Sb: 0.5000 0.5000 0.7518  6 Tm 3.05-3.07
Sb: 0.0000 0.0000 0.5000  6 Tm 3.01-3.06
Tm: 0.0000 0.5000 0.0000  4 Sb 3.05, 2 Te 3.06
Tm: 0.5000 0.0000 0.7418  4 Sb 3.01-3.06, 2 Te 3.11
Tm: 0.5000 0.0000 0.2582  4 Sb 3.01-3.06, 2 Te 3.11
Tm: 0.0000 0.5000 0.5000  6 Sb 3.06-3.07
Te: 0.0000 0.0000 0.0000  6 Tm 3.06-3.11

Output
volume	28.71	Å³/atom
symmetry	Pmmm, No. 47
total moment	0.00	μB/f.u.
VASP energy	-42.48	eV/cell



Number 1: mass density 9.66 g/cm3. Number 2: mass density 9.38 g/cm3. Number 3: mass density 8.45 g/cm3.